Entry A
! YMo2Ru | the Alexandria database | PBE | optimized geometry; values from VASP
&SYSTEM
  ibrav = 0, nat = 4, ntyp = 3
/
ATOMIC_SPECIES
Y 88.91 Y.upf
Mo 95.94 Mo.upf
Ru 101.07 Ru.upf
CELL_PARAMETERS angstrom
2.961 0.000 0.000
0.000 4.371 0.000
0.000 0.000 5.663
ATOMIC_POSITIONS angstrom
Y 0.000 0.000 0.000
Mo 1.481 2.186 1.658
Mo 1.481 2.186 4.005
Ru 0.000 0.000 2.831
! - N(E_F): 4.86 states/eV/cell

Entry B
! YMo2Ru | the Alexandria database | PBE | optimized geometry; values from VASP
&SYSTEM
  ibrav = 0, nat = 4, ntyp = 3
/
ATOMIC_SPECIES
Y 88.91 Y.upf
Mo 95.94 Mo.upf
Ru 101.07 Ru.upf
CELL_PARAMETERS angstrom
1.573 0.908 8.580
-1.573 0.908 8.580
0.000 -1.816 8.580
ATOMIC_POSITIONS angstrom
Y 0.000 0.000 0.000
Mo 0.000 0.000 6.069
Mo 0.000 0.000 12.814
Ru 0.000 0.000 19.442
! - N(E_F): 4.81 states/eV/cell

Most stable = entry B

Entry A
! YMo2Ru | the Alexandria database | PBE | optimized geometry; values from VASP
&SYSTEM
  ibrav = 0, nat = 4, ntyp = 3
/
ATOMIC_SPECIES
Y 88.91 Y.upf
Mo 95.94 Mo.upf
Ru 101.07 Ru.upf
CELL_PARAMETERS angstrom
0.000 3.261 3.261
3.261 0.000 3.261
3.261 3.261 0.000
ATOMIC_POSITIONS angstrom
Y 0.000 0.000 0.000
Mo 3.261 3.261 3.261
Mo 4.892 4.892 4.892
Ru 1.631 1.631 1.631
! - N(E_F): 3.38 states/eV/cell

Entry B
! YMo2Ru | the Alexandria database | PBE | optimized geometry; values from VASP
&SYSTEM
  ibrav = 0, nat = 4, ntyp = 3
/
ATOMIC_SPECIES
Y 88.91 Y.upf
Mo 95.94 Mo.upf
Ru 101.07 Ru.upf
CELL_PARAMETERS angstrom
3.236 0.000 0.000
0.000 4.459 0.000
0.000 0.000 4.878
ATOMIC_POSITIONS angstrom
Y 0.000 0.000 0.000
Mo 0.000 2.229 2.439
Mo 1.618 0.000 2.439
Ru 1.618 2.229 0.000
! - N(E_F): 3.88 states/eV/cell

Entry C
! YMo2Ru | the Alexandria database | PBE | optimized geometry; values from VASP
&SYSTEM
  ibrav = 0, nat = 4, ntyp = 3
/
ATOMIC_SPECIES
Y 88.91 Y.upf
Mo 95.94 Mo.upf
Ru 101.07 Ru.upf
CELL_PARAMETERS angstrom
0.000 3.247 3.247
3.247 0.000 3.247
3.247 3.247 0.000
ATOMIC_POSITIONS angstrom
Y 0.000 0.000 0.000
Mo 1.624 1.624 1.624
Mo 4.871 4.871 4.871
Ru 3.247 3.247 3.247
! - N(E_F): 2.01 states/eV/cell

Entry D
! YMo2Ru | the Alexandria database | PBE | optimized geometry; values from VASP
&SYSTEM
  ibrav = 0, nat = 4, ntyp = 3
/
ATOMIC_SPECIES
Y 88.91 Y.upf
Mo 95.94 Mo.upf
Ru 101.07 Ru.upf
CELL_PARAMETERS angstrom
2.929 0.000 0.000
0.000 4.658 0.000
-1.117 0.000 5.141
ATOMIC_POSITIONS angstrom
Y 0.000 0.000 0.000
Mo -0.056 2.329 3.827
Mo 1.868 2.329 1.314
Ru 0.906 0.000 2.571
! - N(E_F): 3.07 states/eV/cell

Most stable = entry A

Entry A
! YMo2Ru2 | the Alexandria database | PBE | optimized geometry; values from VASP
&SYSTEM
  ibrav = 0, nat = 10, ntyp = 3
/
ATOMIC_SPECIES
Y 88.91 Y.upf
Mo 95.94 Mo.upf
Ru 101.07 Ru.upf
CELL_PARAMETERS angstrom
7.756 0.000 0.000
0.000 7.756 0.000
0.000 0.000 2.867
ATOMIC_POSITIONS angstrom
Y 0.000 0.000 0.000
Y 3.878 3.878 0.000
Mo 1.151 2.728 0.000
Mo 2.728 6.606 0.000
Mo 5.029 1.151 0.000
Mo 6.606 5.029 0.000
Ru 1.106 4.984 1.433
Ru 2.772 1.106 1.433
Ru 4.984 6.650 1.433
Ru 6.650 2.772 1.433
! - N(E_F): 9.64 states/eV/cell

Entry B
! YMo2Ru2 | the Alexandria database | PBE | optimized geometry; values from VASP
&SYSTEM
  ibrav = 0, nat = 5, ntyp = 3
/
ATOMIC_SPECIES
Y 88.91 Y.upf
Mo 95.94 Mo.upf
Ru 101.07 Ru.upf
CELL_PARAMETERS angstrom
-2.173 2.173 5.108
2.173 -2.173 5.108
2.173 2.173 -5.108
ATOMIC_POSITIONS angstrom
Y 0.000 0.000 0.000
Mo 2.173 0.000 2.554
Mo 0.000 2.173 2.554
Ru 0.000 0.000 3.804
Ru 0.000 0.000 6.411
! - N(E_F): 4.22 states/eV/cell

Entry C
! YMo2Ru2 | the Alexandria database | PBE | optimized geometry; values from VASP
&SYSTEM
  ibrav = 0, nat = 5, ntyp = 3
/
ATOMIC_SPECIES
Y 88.91 Y.upf
Mo 95.94 Mo.upf
Ru 101.07 Ru.upf
CELL_PARAMETERS angstrom
-2.191 2.191 5.017
2.191 -2.191 5.017
2.191 2.191 -5.017
ATOMIC_POSITIONS angstrom
Y 0.000 0.000 0.000
Mo 0.000 0.000 3.753
Mo 0.000 0.000 6.281
Ru 2.191 0.000 2.509
Ru 0.000 2.191 2.509
! - N(E_F): 4.87 states/eV/cell

Most stable = entry B

Entry A
! Y2MoRu | the Alexandria database | PBE | optimized geometry; values from VASP
&SYSTEM
  ibrav = 0, nat = 4, ntyp = 3
/
ATOMIC_SPECIES
Y 88.91 Y.upf
Mo 95.94 Mo.upf
Ru 101.07 Ru.upf
CELL_PARAMETERS angstrom
3.123 -4.450 0.000
3.123 4.450 0.000
-1.128 0.000 2.959
ATOMIC_POSITIONS angstrom
Y 1.561 2.225 0.000
Y 1.561 -2.225 0.000
Mo -0.564 0.000 1.480
Ru 2.559 0.000 1.480
! - N(E_F): 4.24 states/eV/cell

Entry B
! Y2MoRu | the Alexandria database | PBE | optimized geometry; values from VASP
&SYSTEM
  ibrav = 0, nat = 4, ntyp = 3
/
ATOMIC_SPECIES
Y 88.91 Y.upf
Mo 95.94 Mo.upf
Ru 101.07 Ru.upf
CELL_PARAMETERS angstrom
-2.021 2.021 5.104
2.021 -2.021 5.104
2.021 2.021 -5.104
ATOMIC_POSITIONS angstrom
Y 0.000 0.000 0.000
Y 0.000 2.021 2.552
Mo 2.021 0.000 2.552
Ru 0.000 0.000 5.104
! - N(E_F): 4.58 states/eV/cell

Most stable = entry B

Entry A
! Y2MoRu | the Alexandria database | PBE | optimized geometry; values from VASP
&SYSTEM
  ibrav = 0, nat = 4, ntyp = 3
/
ATOMIC_SPECIES
Y 88.91 Y.upf
Mo 95.94 Mo.upf
Ru 101.07 Ru.upf
CELL_PARAMETERS angstrom
3.351 0.000 0.000
0.000 4.214 0.000
-1.552 0.000 6.479
ATOMIC_POSITIONS angstrom
Y 0.000 0.000 0.000
Y 0.169 2.107 4.116
Mo 1.495 2.107 1.521
Ru 2.066 0.000 2.612
! - N(E_F): 2.09 states/eV/cell

Entry B
! Y2MoRu | the Alexandria database | PBE | optimized geometry; values from VASP
&SYSTEM
  ibrav = 0, nat = 4, ntyp = 3
/
ATOMIC_SPECIES
Y 88.91 Y.upf
Mo 95.94 Mo.upf
Ru 101.07 Ru.upf
CELL_PARAMETERS angstrom
0.000 3.421 3.421
3.421 0.000 3.421
3.421 3.421 0.000
ATOMIC_POSITIONS angstrom
Y 0.000 0.000 0.000
Y 1.710 1.710 1.710
Mo 3.421 3.421 3.421
Ru 5.131 5.131 5.131
! - N(E_F): 5.59 states/eV/cell

Entry C
! Y2MoRu | the Alexandria database | PBE | optimized geometry; values from VASP
&SYSTEM
  ibrav = 0, nat = 4, ntyp = 3
/
ATOMIC_SPECIES
Y 88.91 Y.upf
Mo 95.94 Mo.upf
Ru 101.07 Ru.upf
CELL_PARAMETERS angstrom
-1.747 2.582 4.586
1.747 -2.582 4.586
1.747 2.582 -4.586
ATOMIC_POSITIONS angstrom
Y 0.000 0.000 2.140
Y 0.000 0.000 7.032
Mo 0.000 2.582 0.000
Ru 1.747 0.000 0.000
! - N(E_F): 4.41 states/eV/cell

Most stable = entry A